(1)
Ti2NbMoH: optimized geometry, GGA-PBE.

Results
* uncorrected energy: -8.04 eV/atom
* space-group type: No. 123

a b c (Å): 3.8695 3.8695 4.6523
angles (deg): 90.00 90.00 90.00
Positions (direct):
Ti (0.0000, 0.5000, 0.0000)
Ti (0.5000, 0.0000, 0.0000)
Nb (0.0000, 0.0000, 0.5000)
Mo (0.5000, 0.5000, 0.5000)
H (0.5000, 0.5000, 0.0000)


(2)
TiNb2MoH: optimized geometry, GGA-PBE.

Results
* uncorrected energy: -8.42 eV/atom
* space-group type: No. 123

a b c (Å): 3.9010 3.9010 4.7557
angles (deg): 90.00 90.00 90.00
Positions (direct):
Ti (0.0000, 0.0000, 0.0000)
Nb (0.0000, 0.5000, 0.5000)
Nb (0.5000, 0.0000, 0.5000)
Mo (0.5000, 0.5000, 0.0000)
H (0.0000, 0.0000, 0.5000)


(3)
Ti2NbMoH: optimized geometry, GGA-PBE.

Results
* uncorrected energy: -8.06 eV/atom
* space-group type: No. 123

a b c (Å): 3.8589 3.8589 4.6804
angles (deg): 90.00 90.00 90.00
Positions (direct):
Ti (0.0000, 0.5000, 0.0000)
Ti (0.5000, 0.0000, 0.0000)
Nb (0.0000, 0.0000, 0.5000)
Mo (0.5000, 0.5000, 0.5000)
H (0.0000, 0.0000, 0.0000)


(4)
NbTlMo2H: optimized geometry, GGA-PBE.

Results
* uncorrected energy: -5.42 eV/atom
* space-group type: No. 123

a b c (Å): 4.7949 4.7949 5.6427
angles (deg): 90.00 90.00 90.00
Positions (direct):
Nb (0.0000, 0.0000, 0.0000)
Tl (0.0000, 0.0000, 0.5000)
Mo (0.0000, 0.5000, 0.0000)
Mo (0.5000, 0.0000, 0.0000)
H (0.5000, 0.5000, 0.5000)


(5)
Nb2VMoH: optimized geometry, GGA-PBE.

Results
* uncorrected energy: -8.77 eV/atom
* space-group type: No. 123

a b c (Å): 4.4621 4.4621 3.3774
angles (deg): 90.00 90.00 90.00
Positions (direct):
Nb (0.0000, 0.5000, 0.0000)
Nb (0.5000, 0.0000, 0.0000)
V (0.0000, 0.0000, 0.5000)
Mo (0.5000, 0.5000, 0.5000)
H (0.0000, 0.0000, 0.0000)


(6)
Nb2VMoH: optimized geometry, GGA-PBE.

Results
* uncorrected energy: -8.67 eV/atom
* space-group type: No. 123

a b c (Å): 4.4874 4.4874 3.4436
angles (deg): 90.00 90.00 90.00
Positions (direct):
Nb (0.0000, 0.5000, 0.0000)
Nb (0.5000, 0.0000, 0.0000)
V (0.0000, 0.0000, 0.5000)
Mo (0.5000, 0.5000, 0.5000)
H (0.5000, 0.5000, 0.0000)


(7)
NbVMo2H: optimized geometry, GGA-PBE.

Results
* uncorrected energy: -8.88 eV/atom
* space-group type: No. 123

a b c (Å): 4.4305 4.4305 3.3460
angles (deg): 90.00 90.00 90.00
Positions (direct):
Nb (0.0000, 0.0000, 0.0000)
V (0.5000, 0.5000, 0.0000)
Mo (0.0000, 0.5000, 0.5000)
Mo (0.5000, 0.0000, 0.5000)
H (0.5000, 0.5000, 0.5000)


(8)
NbV2MoH: optimized geometry, GGA-PBE.

Results
* uncorrected energy: -8.44 eV/atom
* space-group type: No. 123

a b c (Å): 3.7258 3.7258 4.6287
angles (deg): 90.00 90.00 90.00
Positions (direct):
Nb (0.0000, 0.0000, 0.0000)
V (0.0000, 0.5000, 0.5000)
V (0.5000, 0.0000, 0.5000)
Mo (0.5000, 0.5000, 0.0000)
H (0.5000, 0.5000, 0.5000)


(9)
Nb2MoHW: optimized geometry, GGA-PBE.

Results
* uncorrected energy: -9.47 eV/atom
* space-group type: No. 123

a b c (Å): 4.5641 4.5641 3.4139
angles (deg): 90.00 90.00 90.00
Positions (direct):
Nb (0.0000, 0.5000, 0.0000)
Nb (0.5000, 0.0000, 0.0000)
Mo (0.0000, 0.0000, 0.5000)
H (0.0000, 0.0000, 0.0000)
W (0.5000, 0.5000, 0.5000)


(10)
NbZnMo2H: optimized geometry, GGA-PBE.

Results
* uncorrected energy: -7.23 eV/atom
* space-group type: No. 123

a b c (Å): 4.0034 4.0034 4.1325
angles (deg): 90.00 90.00 90.00
Positions (direct):
Nb (0.0000, 0.0000, 0.0000)
Zn (0.5000, 0.5000, 0.0000)
Mo (0.0000, 0.5000, 0.5000)
Mo (0.5000, 0.0000, 0.5000)
H (0.0000, 0.0000, 0.5000)


(11)
NdMo2H8: optimized geometry, GGA-PBE.

Results
* uncorrected energy: -4.95 eV/atom
* space-group type: No. 8

a b c (Å): 4.8768 4.8768 4.4756
angles (deg): 90.06 90.06 118.47
Positions (direct):
Nd (0.0000, 0.0000, 0.0000)
Mo (0.3644, 0.7066, 0.5154)
Mo (0.7066, 0.3644, 0.5154)
H (0.0245, 0.7691, 0.4482)
H (0.0415, 0.4344, 0.7547)
H (0.3620, 0.3620, 0.3291)
H (0.3789, 0.7604, 0.1240)
H (0.4344, 0.0415, 0.7547)
H (0.5821, 0.5821, 0.7700)
H (0.7604, 0.3789, 0.1240)
H (0.7691, 0.0245, 0.4482)


(12)
NdMoH3: optimized geometry, GGA-PBE.

Results
* uncorrected energy: -5.39 eV/atom
* space-group type: No. 221

a b c (Å): 3.7735 3.7735 3.7735
angles (deg): 90.00 90.00 90.00
Positions (direct):
Nd (0.0000, 0.0000, 0.0000)
Mo (0.5000, 0.5000, 0.5000)
H (0.0000, 0.5000, 0.5000)
H (0.5000, 0.0000, 0.5000)
H (0.5000, 0.5000, 0.0000)


One value per record, in order, for ρ: 6.81 7.59 6.80 6.27 8.24 7.99 8.51 7.54 10.90 8.80 6.11 7.52 g/cm3.
One value per record, in order, for total magnetization: 0.08 0.00 0.03 0.52 0.00 0.00 0.00 0.00 0.00 0.00 0.00 0.00 μB/atom.
One value per record, in order, for volume: 13.93 14.47 13.94 25.95 13.45 13.87 13.14 12.85 14.22 13.25 8.51 10.75 A^3/atom.